1.
This record from Alexandria describes a geometry-optimized ScFe2Ge2 structure. The functional is GGA-PBE.

Summary:
Formation enthalpy at 0 K, eV per atom: -0.177

a = 7.0769 Å, b = 7.0769 Å, c = 2.7845 Å
α = 90.00°, β = 90.00°, γ = 90.00°
Fractional coordinates of all 10 atoms:
Sc  0.0000  0.0000  0.0000
Sc  0.5000  0.5000  0.0000
Ge  0.3574  0.8574  0.0000
Ge  0.8574  0.6426  0.0000
Ge  0.6426  0.1426  0.0000
Ge  0.1426  0.3574  0.0000
Fe  0.1501  0.6501  0.5000
Fe  0.6501  0.8499  0.5000
Fe  0.8499  0.3499  0.5000
Fe  0.3499  0.1501  0.5000

---

2.
This record from Alexandria describes a geometry-optimized HfHg3Br structure. The functional is GGA-PBE.

Summary:
Uncorrected formation energy, eV per atom: 0.368

a = 5.6463 Å, b = 5.6463 Å, c = 5.6463 Å
α = 90.00°, β = 90.00°, γ = 90.00°
Fractional coordinates of all 5 atoms:
Hf  0.0000  0.0000  0.0000
Hg  0.0000  0.5000  0.0000
Hg  0.0000  0.0000  0.5000
Hg  0.5000  0.0000  0.0000
Br  0.5000  0.5000  0.5000

---

no.,magnetization (μB per formula unit),density of states at the Fermi level (states/eV per cell)
1,0.000,10.74
2,0.000,3.73